Record 1
First-principles (PBE) data for a geometry-optimized PrNdHg structure, as listed in OQMD via LeMat-Bulk.

The structure belongs to space group F-43m (No. 216); the cell edges are 7.449, 7.449 and 7.449 Å and the angles 90.00°, 90.00° and 90.00°. The inequivalent atoms are Pr at (0.000, 0.000, 0.000), Nd at (0.000, 0.000, 0.500) and Hg at (0.250, 0.250, 0.750).

Its formation energy is -0.3 eV per formula unit. The value obtained for the size of the total moment is 2.0 Bohr magnetons per cell. As for the energy above the most stable polymorph in this dataset: 0.228 eV/atom. As for the crystal system: cubic.

=====

Record 2
First-principles (PBE) data for a geometry-optimized KZn3 structure, as listed in OQMD via LeMat-Bulk.

The structure belongs to space group Cmcm (No. 63); the cell edges are 6.699, 11.249 and 4.683 Å and the angles 90.00°, 90.00° and 90.00°. The inequivalent atoms are K at (0.000, 0.088, 0.250), Zn at (0.000, 0.422, 0.750) and Zn at (0.192, 0.338, 0.250).

As for the energy above the most stable polymorph in this dataset: 0.214 eV/atom. As for the crystal system: orthorhombic.

=====

Record 3
First-principles (PBE) data for a geometry-optimized LiCoBAs structure, as listed in OQMD via LeMat-Bulk.

The structure belongs to space group F-43m (No. 216); the cell edges are 5.574, 5.574 and 5.574 Å and the angles 90.00°, 90.00° and 90.00°. The inequivalent atoms are Li at (0.000, 0.000, 0.000), Co at (0.250, 0.250, 0.750), B at (0.000, 0.000, 0.500) and As at (0.250, 0.250, 0.250).

The value obtained for the size of the total moment is 0.1 Bohr magnetons per cell. As for the energy above the most stable polymorph in this dataset: 0.342 eV/atom. As for the crystal system: cubic.

=====

Record 4
First-principles (PBE) data for a geometry-optimized MgSiTcBi structure, as listed in OQMD via LeMat-Bulk.

The structure belongs to space group F-43m (No. 216); the cell edges are 6.626, 6.626 and 6.626 Å and the angles 90.00°, 90.00° and 90.00°. The inequivalent atoms are Mg at (0.000, 0.000, 0.000), Si at (0.250, 0.250, 0.750), Tc at (0.000, 0.000, 0.500) and Bi at (0.250, 0.250, 0.250).

The value obtained for the size of the total moment is 0.0 Bohr magnetons per cell. As for the energy above the most stable polymorph in this dataset: 0.000 eV/atom. As for the crystal system: cubic.

=====

Record 5
First-principles (PBE) data for a geometry-optimized Gd3Ge4Bi4 structure, as listed in OQMD via LeMat-Bulk.

The structure belongs to space group Immm (No. 71); the cell edges are 4.039, 8.825 and 16.676 Å and the angles 90.00°, 90.00° and 90.00°. The inequivalent atoms are Gd at (0.000, 0.000, 0.000), Gd at (0.000, 0.500, 0.142), Ge at (0.000, 0.253, 0.317), Bi at (0.000, 0.000, 0.189) and Bi at (0.000, 0.204, 0.500).

The value obtained for the size of the total moment is 0.1 Bohr magnetons per cell. As for the crystal system: orthorhombic. The total DFT energy (no corrections) comes out at -101.961 eV per cell.

=====

Record 6
First-principles (PBE) data for a geometry-optimized LiMgCd structure, as listed in OQMD via LeMat-Bulk.

The structure belongs to space group F-43m (No. 216); the cell edges are 6.542, 6.542 and 6.542 Å and the angles 90.00°, 90.00° and 90.00°. The inequivalent atoms are Li at (0.000, 0.000, 0.000), Mg at (0.000, 0.000, 0.500) and Cd at (0.250, 0.250, 0.250).

As for the energy above the most stable polymorph in this dataset: 0.239 eV/atom. As for the crystal system: cubic.

=====

Record 7
First-principles (PBE) data for a geometry-optimized ZrCoAgSb structure, as listed in OQMD via LeMat-Bulk.

The structure belongs to space group F-43m (No. 216); the cell edges are 6.615, 6.615 and 6.615 Å and the angles 90.00°, 90.00° and 90.00°. The inequivalent atoms are Zr at (0.000, 0.000, 0.000), Co at (0.250, 0.250, 0.750), Ag at (0.250, 0.250, 0.250) and Sb at (0.000, 0.000, 0.500).

The value obtained for the size of the total moment is 0.4 Bohr magnetons per cell. As for the energy above the most stable polymorph in this dataset: 0.000 eV/atom. As for the crystal system: cubic.

=====

Record 8
First-principles (PBE) data for a geometry-optimized In2SbIr structure, as listed in OQMD via LeMat-Bulk.

The structure belongs to space group F-43m (No. 216); the cell edges are 6.998, 6.998 and 6.998 Å and the angles 90.00°, 90.00° and 90.00°. The inequivalent atoms are In at (0.000, 0.000, 0.000), In at (0.250, 0.250, 0.250), Sb at (0.000, 0.000, 0.500) and Ir at (0.250, 0.250, 0.750).

The value obtained for the size of the total moment is 0.0 Bohr magnetons per cell. As for the crystal system: cubic. The total DFT energy (no corrections) comes out at -69.060 eV per cell.

=====

Record 9
First-principles (PBE) data for a geometry-optimized ZrTlCoAu structure, as listed in OQMD via LeMat-Bulk.

The structure belongs to space group F-43m (No. 216); the cell edges are 6.660, 6.660 and 6.660 Å and the angles 90.00°, 90.00° and 90.00°. The inequivalent atoms are Zr at (0.000, 0.000, 0.000), Tl at (0.000, 0.000, 0.500), Co at (0.250, 0.250, 0.750) and Au at (0.250, 0.250, 0.250).

The value obtained for the size of the total moment is 4.7 Bohr magnetons per cell. As for the energy above the most stable polymorph in this dataset: 0.000 eV/atom. As for the crystal system: cubic.

=====

Record 10
First-principles (PBE) data for a geometry-optimized Dy3Er2Lu2Te2Pd2 structure, as listed in OQMD via LeMat-Bulk.

The structure belongs to space group Imm2 (No. 44); the cell edges are 3.935, 15.596 and 9.529 Å and the angles 90.00°, 90.00° and 90.00°. The inequivalent atoms are Dy at (0.000, 0.000, 0.000), Dy at (0.000, 0.356, 0.738), Er at (0.000, 0.318, 0.375), Lu at (0.000, 0.131, 0.585), Te at (0.000, 0.000, 0.343), Te at (0.000, 0.500, 0.232) and Pd at (0.000, 0.240, 0.069).

The value obtained for the size of the total moment is 0.0 Bohr magnetons per cell. As for the energy above the most stable polymorph in this dataset: 0.009 eV/atom. As for the crystal system: orthorhombic.